Entry 1:
Mg2SiGe: relaxed, GGA-PBE.

```
Mg2SiGe
1.0
7.545 0.000 0.000
0.000 7.545 0.000
3.772 3.772 2.869
Mg Ge Si
4 2 2
direct
0.617 0.125 0.250
0.133 0.625 0.250
0.375 0.383 0.750
0.875 0.867 0.750
0.000 0.000 0.000
0.750 0.250 0.500
0.500 0.500 0.000
0.250 0.750 0.500
```

## Properties
- total DFT energy (no corrections) (eV per cell) = -24.3
- symmetry = I-42d, No. 122
- ΔE_f (raw) (eV/atom) = 0.27

=====

Entry 2:
ThMgPd2: relaxed, GGA-PBE.

```
ThMgPd2
1.0
-0.040 -3.007 -1.477
1.115 -1.405 2.830
-6.726 -0.974 2.165
Mg Pd Th
1 2 1
direct
0.500 0.500 0.000
0.000 0.000 0.788
0.000 0.000 0.212
0.500 0.500 0.500
```

## Properties
- total DFT energy (no corrections) (eV per cell) = -22.1
- symmetry = P4/mmm, No. 123
- DFT formation energy (eV/atom) = -0.663

=====

Entry 3:
Tb3Al2Pd7: relaxed, GGA-PBE.

```
Tb3Al2Pd7
1.0
-0.485 -1.080 3.829
3.482 -2.340 -0.219
5.668 11.824 4.052
Tb Al Pd
3 2 7
direct
0.500 0.500 0.000
0.500 0.684 0.367
0.500 0.316 0.633
0.000 0.871 0.742
0.000 0.129 0.258
0.000 0.419 0.838
0.000 0.781 0.562
0.000 0.000 0.000
0.000 0.581 0.162
0.500 0.078 0.156
0.500 0.922 0.844
0.000 0.219 0.438
```

## Properties
- total DFT energy (no corrections) (eV per cell) = -68.1
- symmetry = Cmmm, No. 65
- DFT formation energy (eV/atom) = -0.866

=====

The lowest total DFT energy (no corrections) belongs to which entry?
Tb3Al2Pd7